11
Lattice="3.555 0.000 0.000 -0.011 8.600 0.000 -1.761 -2.989 11.272" Properties=species:S:1:pos:R:3 comment="Tb2Tm5Th4 | Alexandria via LeMat-Bulk | PBE | relaxed" formation_enthalpy_0k_mev_per_atom=26 mass_density_g_cm3=10.07 vol_a3_per_cell=344.6 de_polymorph_mev_per_atom=0 pbc="T T T"
Tb 0.000 1.359 2.038
Tb 1.784 4.252 9.235
Tm -0.005 4.300 0.000
Tm 0.002 4.263 6.128
Tm 0.008 1.299 8.189
Tm 1.775 4.312 3.083
Tm 1.781 1.348 5.144
Th -0.005 7.109 4.110
Th 0.014 -1.527 10.236
Th 1.770 7.138 1.037
Th 1.789 -1.498 7.162